(1)
DFT (GGA-PBE) results for CeGdYAl after structural relaxation.

Unit cell a=5.357 b=5.357 c=5.357 alpha=60.00 beta=60.00 gamma=60.00
Atoms (fractional coordinates):
Ce: 0.000 0.000 0.000
Gd: 0.250 0.250 0.250
Y: 0.500 0.500 0.500
Al: 0.750 0.750 0.750

Properties
- DFT total energy: -7.610 eV/atom
- M_tot: 2.11 μB/atom

***

(2)
DFT (GGA-PBE) results for Te2IrIBr after structural relaxation.

Unit cell a=5.230 b=5.230 c=5.587 alpha=90.00 beta=90.00 gamma=90.00
Atoms (fractional coordinates):
Te: 0.000 0.500 0.000
Te: 0.500 0.000 0.000
Ir: 0.000 0.000 0.000
I: 0.000 0.000 0.500
Br: 0.500 0.500 0.500

Properties
- DFT total energy: -3.264 eV/atom
- Energy relative to the elements, uncorrected: 0.41 eV per atom
- Polymorph energy (0 for the lowest one): 0.000 eV/f.u.
- M_tot: 0.00 μB/atom

***

(3)
DFT (GGA-PBE) results for Ac2CdPt5Rh2 after structural relaxation.

Unit cell a=9.754 b=9.754 c=4.191 alpha=90.00 beta=90.00 gamma=90.00
Atoms (fractional coordinates):
Ac: 0.175 0.325 0.000
Ac: 0.325 0.825 0.000
Ac: 0.675 0.175 0.000
Ac: 0.825 0.675 0.000
Cd: 0.000 0.000 0.000
Cd: 0.500 0.500 0.000
Pt: 0.000 0.500 0.500
Pt: 0.061 0.797 0.500
Pt: 0.203 0.061 0.500
Pt: 0.297 0.561 0.500
Pt: 0.439 0.297 0.500
Pt: 0.500 0.000 0.500
Pt: 0.561 0.703 0.500
Pt: 0.703 0.439 0.500
Pt: 0.797 0.939 0.500
Pt: 0.939 0.203 0.500
Rh: 0.124 0.624 0.000
Rh: 0.376 0.124 0.000
Rh: 0.624 0.876 0.000
Rh: 0.876 0.376 0.000

Properties
- DFT total energy: -6.015 eV/atom
- M_tot: 0.00 μB/atom

***

(4)
DFT (GGA-PBE) results for Na2Sc2PaS6 after structural relaxation.

Unit cell a=6.632 b=6.632 c=7.116 alpha=98.98 beta=98.98 gamma=120.21
Atoms (fractional coordinates):
Na: 0.167 0.833 0.000
Na: 0.833 0.167 0.000
Sc: 0.333 0.667 0.500
Sc: 0.667 0.333 0.500
Pa: 0.000 0.000 0.500
S: 0.069 0.412 0.715
S: 0.268 0.268 0.285
S: 0.412 0.069 0.715
S: 0.588 0.931 0.285
S: 0.732 0.732 0.715
S: 0.931 0.588 0.285

Properties
- DFT total energy: -6.197 eV/atom
- Energy relative to the elements, uncorrected: -1.69 eV per atom
- M_tot: 0.10 μB/atom